Record 1
A relaxed ZrNi2Pt crystal. Source: the Alexandria database, functional GGA-PBE.

a = 8.860 Å, b = 8.860 Å, c = 8.860 Å
α = 18.34°, β = 18.34°, γ = 18.34°
Element x y z (fractional)
Ni  0.998  0.998  0.998
Ni  0.502  0.502  0.502
Pt  0.250  0.250  0.250
Zr  0.750  0.750  0.750

Output
density	11.15	Mg/m³
magnetic moment	0.00	μB per formula unit
energy of formation	0.16	eV per formula unit

Record 2
A relaxed PuNi3 crystal. Source: the Alexandria database, functional GGA-PBE.

a = 4.946 Å, b = 4.946 Å, c = 16.209 Å
α = 90.00°, β = 90.00°, γ = 120.00°
Element x y z (fractional)
Pu  0.667  0.333  0.537
Pu  0.333  0.667  0.037
Pu  0.333  0.667  0.463
Pu  0.667  0.333  0.963
Pu  0.667  0.333  0.750
Pu  0.333  0.667  0.250
Ni  0.334  0.167  0.127
Ni  0.833  0.167  0.127
Ni  0.833  0.666  0.127
Ni  0.666  0.833  0.627
Ni  0.167  0.833  0.627
Ni  0.167  0.334  0.627
Ni  0.167  0.833  0.873
Ni  0.666  0.833  0.873
Ni  0.167  0.334  0.873
Ni  0.833  0.167  0.373
Ni  0.334  0.167  0.373
Ni  0.833  0.666  0.373
Ni  0.667  0.333  0.250
Ni  0.333  0.667  0.750
Ni  0.000  0.000  0.250
Ni  0.000  0.000  0.750
Ni  0.000  0.000  0.000
Ni  0.000  0.000  0.500

Output
density	12.19	Mg/m³
magnetic moment	4.47	μB per formula unit
energy of formation	-0.93	eV per formula unit

Record 3
A relaxed PuNi11 crystal. Source: the Alexandria database, functional GGA-PBE.

a = 6.261 Å, b = 7.578 Å, c = 7.578 Å
α = 80.17°, β = 65.60°, γ = 65.60°
Element x y z (fractional)
Pu  0.500  0.000  0.000
Pu  0.250  0.500  0.500
Ni  0.433  0.827  0.419
Ni  0.679  0.173  0.581
Ni  0.000  0.000  0.000
Ni  0.750  0.500  0.500
Ni  0.375  0.750  0.750
Ni  0.875  0.750  0.250
Ni  0.875  0.250  0.750
Ni  0.875  0.250  0.250
Ni  0.433  0.419  0.827
Ni  0.010  0.673  0.919
Ni  0.602  0.327  0.081
Ni  0.679  0.581  0.173
Ni  0.740  0.581  0.827
Ni  0.148  0.419  0.173
Ni  0.071  0.327  0.919
Ni  0.317  0.673  0.081
Ni  0.317  0.081  0.673
Ni  0.740  0.827  0.581
Ni  0.148  0.173  0.419
Ni  0.071  0.919  0.327
Ni  0.010  0.919  0.673
Ni  0.602  0.081  0.327

Output
density	9.91	Mg/m³
magnetic moment	9.77	μB per formula unit
energy of formation	-0.19	eV per formula unit

Record 4
A relaxed PuNi3 crystal. Source: the Alexandria database, functional GGA-PBE.

a = 3.884 Å, b = 3.884 Å, c = 4.691 Å
α = 114.46°, β = 114.46°, γ = 90.00°
Element x y z (fractional)
Ni  0.750  0.250  0.500
Ni  0.250  0.750  0.500
Ni  0.500  0.500  0.000
Pu  0.000  0.000  0.000

Output
density	12.16	Mg/m³
magnetic moment	4.13	μB per formula unit
energy of formation	-0.07	eV per formula unit

Record 5
A relaxed PuNi3 crystal. Source: the Alexandria database, functional GGA-PBE.

a = 8.592 Å, b = 8.592 Å, c = 8.592 Å
α = 33.48°, β = 33.48°, γ = 33.48°
Element x y z (fractional)
Ni  0.418  0.418  0.919
Ni  0.418  0.919  0.418
Ni  0.667  0.667  0.667
Ni  0.582  0.582  0.081
Ni  0.919  0.418  0.418
Ni  0.500  0.500  0.500
Ni  0.582  0.081  0.582
Ni  0.333  0.333  0.333
Ni  0.081  0.582  0.582
Pu  0.142  0.142  0.142
Pu  0.000  0.000  0.000
Pu  0.858  0.858  0.858

Output
density	12.17	Mg/m³
magnetic moment	4.58	μB per formula unit
energy of formation	-0.93	eV per formula unit

Record 6
A relaxed Pu4Ni crystal. Source: the Alexandria database, functional GGA-PBE.

a = 5.235 Å, b = 5.235 Å, c = 5.235 Å
α = 90.00°, β = 90.00°, γ = 90.00°
Element x y z (fractional)
Ni  0.500  0.500  0.500
Pu  0.000  0.000  0.000
Pu  0.500  0.000  0.500
Pu  0.000  0.500  0.500
Pu  0.500  0.500  0.000

Output
density	11.98	Mg/m³
magnetic moment	23.88	μB per formula unit
polymorph energy (0 for the lowest one)	0.000	eV/atom
energy of formation	2.01	eV per formula unit

Record 7
A relaxed PuNi3 crystal. Source: the Alexandria database, functional GGA-PBE.

a = 3.858 Å, b = 3.847 Å, c = 3.847 Å
α = 90.00°, β = 90.00°, γ = 90.00°
Element x y z (fractional)
Ni  0.000  0.000  0.083
Ni  0.000  0.500  0.583
Ni  0.500  0.500  0.083
Pu  0.500  0.000  0.583

Output
density	12.22	Mg/m³
magnetic moment	4.51	μB per formula unit
energy of formation	-0.25	eV per formula unit

Record 8
A relaxed Pu4Ni crystal. Source: the Alexandria database, functional GGA-PBE.

a = 7.214 Å, b = 7.214 Å, c = 7.214 Å
α = 60.00°, β = 60.00°, γ = 60.00°
Element x y z (fractional)
Pu  0.892  0.892  0.892
Pu  0.324  0.892  0.892
Pu  0.892  0.892  0.324
Pu  0.926  0.358  0.358
Pu  0.358  0.358  0.358
Pu  0.892  0.324  0.892
Pu  0.358  0.358  0.926
Pu  0.358  0.926  0.358
Ni  0.500  0.500  0.500
Ni  0.750  0.750  0.750

Output
density	12.94	Mg/m³
magnetic moment	22.71	μB per formula unit
polymorph energy (0 for the lowest one)	0.119	eV/atom
energy of formation	2.60	eV per formula unit

Record 9
A relaxed Rb2PuNi2S4 crystal. Source: the Alexandria database, functional GGA-PBE.

a = 3.913 Å, b = 7.803 Å, c = 7.441 Å
α = 108.25°, β = 105.24°, γ = 90.00°
Element x y z (fractional)
Rb  0.136  0.559  0.272
Rb  0.864  0.441  0.728
Pu  0.000  0.000  0.000
Ni  0.683  0.987  0.366
Ni  0.317  0.013  0.634
S  0.198  0.151  0.396
S  0.802  0.849  0.604
S  0.526  0.781  0.051
S  0.474  0.219  0.949

Output
density	5.29	Mg/m³
magnetic moment	2.29	μB per formula unit
energy relative to the elements, uncorrected	-1.05	eV/atom

Record 10
A relaxed RbPu2NiS4 crystal. Source: the Alexandria database, functional GGA-PBE.

a = 3.962 Å, b = 7.214 Å, c = 13.547 Å
α = 90.00°, β = 90.00°, γ = 105.94°
Element x y z (fractional)
Rb  0.101  0.202  0.750
Rb  0.899  0.798  0.250
Pu  0.366  0.731  0.559
Pu  0.634  0.269  0.059
Pu  0.634  0.269  0.441
Pu  0.366  0.731  0.941
Ni  0.830  0.661  0.750
Ni  0.170  0.339  0.250
S  0.258  0.517  0.110
S  0.742  0.483  0.610
S  0.742  0.483  0.890
S  0.258  0.517  0.390
S  0.000  0.000  0.500
S  0.000  0.000  0.000
S  0.415  0.830  0.750
S  0.585  0.170  0.250

Output
density	6.78	Mg/m³
magnetic moment	9.00	μB per formula unit
energy relative to the elements, uncorrected	-1.42	eV/atom

Record 11
A relaxed RbPuNiS3 crystal. Source: the Alexandria database, functional GGA-PBE.

a = 3.953 Å, b = 9.023 Å, c = 9.275 Å
α = 109.91°, β = 90.00°, γ = 90.00°
Element x y z (fractional)
Rb  0.250  0.203  0.242
Rb  0.750  0.797  0.758
Pu  0.250  0.677  0.157
Pu  0.750  0.323  0.843
Ni  0.250  0.080  0.590
Ni  0.750  0.920  0.410
S  0.750  0.874  0.150
S  0.250  0.126  0.850
S  0.250  0.820  0.462
S  0.750  0.180  0.538
S  0.750  0.468  0.154
S  0.250  0.532  0.846

Output
density	5.17	Mg/m³
magnetic moment	3.55	μB per formula unit
energy relative to the elements, uncorrected	-1.20	eV/atom

Record 12
A relaxed Rb4Pu3NiS8 crystal. Source: the Alexandria database, functional GGA-PBE.

a = 8.042 Å, b = 8.943 Å, c = 8.116 Å
α = 117.19°, β = 119.70°, γ = 90.00°
Element x y z (fractional)
Rb  0.500  0.000  0.000
Rb  0.500  0.000  0.500
Rb  0.000  0.000  0.000
Rb  0.000  0.000  0.500
Pu  0.500  0.500  0.000
Pu  0.500  0.500  0.500
Pu  0.000  0.500  0.500
Ni  0.000  0.500  0.000
S  0.220  0.682  0.962
S  0.224  0.683  0.449
S  0.268  0.306  0.536
S  0.742  0.682  0.962
S  0.258  0.318  0.038
S  0.732  0.694  0.464
S  0.776  0.317  0.551
S  0.780  0.318  0.038

Output
density	5.35	Mg/m³
magnetic moment	6.33	μB per formula unit
energy relative to the elements, uncorrected	-1.22	eV/atom

Record 13
A relaxed Rb3Pu2NiS6 crystal. Source: the Alexandria database, functional GGA-PBE.

a = 6.881 Å, b = 6.881 Å, c = 7.959 Å
α = 98.26°, β = 98.26°, γ = 120.05°
Element x y z (fractional)
Rb  0.166  0.834  0.500
Rb  0.834  0.166  0.500
Rb  0.500  0.500  0.500
Pu  0.333  0.667  0.000
Pu  0.667  0.333  0.000
Ni  0.000  0.000  0.000
S  0.939  0.616  0.816
S  0.740  0.740  0.183
S  0.061  0.384  0.184
S  0.616  0.939  0.816
S  0.260  0.260  0.817
S  0.384  0.061  0.184

Output
density	5.29	Mg/m³
magnetic moment	7.00	μB per formula unit
energy relative to the elements, uncorrected	-1.16	eV/atom

Record 14
A relaxed RbPuNiS4 crystal. Source: the Alexandria database, functional GGA-PBE.

a = 6.612 Å, b = 5.612 Å, c = 9.240 Å
α = 90.00°, β = 105.48°, γ = 90.00°
Element x y z (fractional)
Rb  0.749  0.750  0.952
Rb  0.251  0.250  0.048
Pu  0.741  0.750  0.449
Pu  0.259  0.250  0.551
Ni  0.237  0.750  0.340
Ni  0.763  0.250  0.660
S  0.014  0.515  0.700
S  0.986  0.015  0.300
S  0.986  0.485  0.300
S  0.014  0.985  0.700
S  0.453  0.750  0.194
S  0.547  0.250  0.806
S  0.418  0.750  0.575
S  0.582  0.250  0.425

Output
density	5.19	Mg/m³
magnetic moment	2.39	μB per formula unit
energy relative to the elements, uncorrected	-0.95	eV/atom

Record 15
A relaxed RbPu2NiSe4 crystal. Source: the Alexandria database, functional GGA-PBE.

a = 4.129 Å, b = 7.544 Å, c = 14.246 Å
α = 90.00°, β = 90.00°, γ = 105.88°
Element x y z (fractional)
Rb  0.104  0.208  0.750
Rb  0.896  0.792  0.250
Pu  0.366  0.732  0.560
Pu  0.634  0.268  0.060
Pu  0.634  0.268  0.440
Pu  0.366  0.732  0.940
Ni  0.833  0.666  0.750
Ni  0.167  0.334  0.250
Se  0.261  0.522  0.112
Se  0.739  0.478  0.612
Se  0.739  0.478  0.888
Se  0.261  0.522  0.388
Se  0.000  0.000  0.500
Se  0.000  0.000  0.000
Se  0.420  0.841  0.750
Se  0.580  0.159  0.250

Output
density	7.38	Mg/m³
magnetic moment	8.99	μB per formula unit
energy relative to the elements, uncorrected	-1.24	eV/atom

Record 16
A relaxed Rb2PuNiSe4 crystal. Source: the Alexandria database, functional GGA-PBE.

a = 6.266 Å, b = 7.907 Å, c = 13.188 Å
α = 84.60°, β = 76.26°, γ = 66.66°
Element x y z (fractional)
Rb  0.181  0.000  0.638
Rb  0.819  0.000  0.362
Rb  0.569  0.500  0.862
Rb  0.931  0.500  0.138
Pu  0.750  0.500  0.500
Pu  0.000  0.000  0.000
Ni  0.250  0.500  0.500
Ni  0.500  0.000  0.000
Se  0.336  0.798  0.105
Se  0.239  0.202  0.895
Se  0.866  0.798  0.895
Se  0.559  0.202  0.105
Se  0.414  0.702  0.395
Se  0.511  0.298  0.605
Se  0.884  0.702  0.605
Se  0.191  0.298  0.395

Output
density	4.50	Mg/m³
magnetic moment	2.06	μB per formula unit
energy relative to the elements, uncorrected	-0.81	eV/atom

Record 17
A relaxed Rb2PuNi2Se4 crystal. Source: the Alexandria database, functional GGA-PBE.

a = 4.070 Å, b = 7.777 Å, c = 8.145 Å
α = 108.26°, β = 90.00°, γ = 105.17°
Element x y z (fractional)
Rb  0.865  0.731  0.441
Rb  0.135  0.269  0.559
Pu  0.000  0.000  0.000
Ni  0.316  0.631  0.013
Ni  0.684  0.369  0.987
Se  0.801  0.601  0.841
Se  0.199  0.399  0.159
Se  0.475  0.950  0.224
Se  0.525  0.050  0.776

Output
density	5.98	Mg/m³
magnetic moment	2.39	μB per formula unit
energy relative to the elements, uncorrected	-0.94	eV/atom

Record 18
A relaxed Rb3Pu2NiSe6 crystal. Source: the Alexandria database, functional GGA-PBE.

a = 7.191 Å, b = 7.191 Å, c = 8.298 Å
α = 98.32°, β = 98.32°, γ = 120.01°
Element x y z (fractional)
Rb  0.168  0.832  0.500
Rb  0.832  0.168  0.500
Rb  0.500  0.500  0.500
Pu  0.333  0.667  0.000
Pu  0.667  0.333  0.000
Ni  0.000  0.000  0.000
Se  0.938  0.620  0.814
Se  0.744  0.744  0.187
Se  0.062  0.380  0.186
Se  0.620  0.938  0.814
Se  0.256  0.256  0.813
Se  0.380  0.062  0.186

Output
density	5.96	Mg/m³
magnetic moment	6.99	μB per formula unit
energy relative to the elements, uncorrected	-1.07	eV/atom

Record 19
A relaxed Rb3Pu3NiSe8 crystal. Source: the Alexandria database, functional GGA-PBE.

a = 8.272 Å, b = 8.274 Å, c = 9.413 Å
α = 116.08°, β = 90.00°, γ = 119.99°
Element x y z (fractional)
Rb  0.000  0.000  0.000
Rb  0.000  0.500  0.000
Rb  0.500  0.500  0.000
Pu  0.500  0.000  0.500
Pu  0.500  0.500  0.500
Pu  0.000  0.500  0.500
Ni  0.000  0.000  0.500
Se  0.268  0.536  0.303
Se  0.732  0.464  0.697
Se  0.788  0.576  0.324
Se  0.212  0.424  0.676
Se  0.788  0.036  0.324
Se  0.212  0.964  0.676
Se  0.248  0.036  0.324
Se  0.752  0.964  0.676

Output
density	5.80	Mg/m³
magnetic moment	14.99	μB per formula unit
energy relative to the elements, uncorrected	-1.13	eV/atom

Record 20
A relaxed Rb2Pu2NiSe6 crystal. Source: the Alexandria database, functional GGA-PBE.

a = 6.945 Å, b = 6.945 Å, c = 8.527 Å
α = 98.27°, β = 98.27°, γ = 119.30°
Element x y z (fractional)
Rb  0.829  0.171  0.000
Rb  0.171  0.829  0.000
Pu  0.332  0.668  0.500
Pu  0.668  0.332  0.500
Ni  0.000  0.000  0.500
Se  0.758  0.758  0.679
Se  0.066  0.372  0.682
Se  0.242  0.242  0.321
Se  0.372  0.066  0.682
Se  0.934  0.628  0.318
Se  0.628  0.934  0.318

Output
density	5.75	Mg/m³
magnetic moment	10.07	μB per formula unit
energy relative to the elements, uncorrected	-1.03	eV/atom